Entry from Alexandria: a geometry-optimized RbBiAs2O6 structure (PBE). Values from VASP.

Cell and atoms, written as Quantum ESPRESSO input:
```
&SYSTEM
  ibrav = 0, nat = 20, ntyp = 4
/
ATOMIC_SPECIES
Rb 85.47 Rb.upf
Bi 208.98 Bi.upf
As 74.92 As.upf
O 16.00 O.upf
CELL_PARAMETERS angstrom
5.267 -5.085 0.000
5.267 5.085 0.000
-2.531 0.000 6.412
ATOMIC_POSITIONS angstrom
Rb 3.369 2.997 4.809
Rb 4.634 -2.997 1.603
Bi 4.634 1.115 1.603
Bi 3.369 -1.115 4.809
As 0.111 0.735 4.976
As 1.377 -0.735 1.770
As 6.626 0.735 4.642
As 7.892 -0.735 1.436
O 2.979 2.654 1.828
O 1.615 0.125 0.090
O 0.349 -0.125 3.296
O 1.770 0.762 5.636
O 6.290 2.654 1.378
O 3.036 -0.762 2.430
O 4.967 0.762 3.981
O 1.713 -2.654 5.034
O 6.233 -0.762 0.775
O 7.654 0.125 3.116
O 6.388 -0.125 6.322
O 5.024 -2.654 4.584
```

=====

Entry from Alexandria: a geometry-optimized ReBiAsO2 structure (PBE). Values from VASP.

Cell and atoms, written as Quantum ESPRESSO input:
```
&SYSTEM
  ibrav = 0, nat = 5, ntyp = 4
/
ATOMIC_SPECIES
Re 186.21 Re.upf
Bi 208.98 Bi.upf
As 74.92 As.upf
O 16.00 O.upf
CELL_PARAMETERS angstrom
3.925 0.000 0.000
0.000 3.925 0.000
0.000 0.000 5.601
ATOMIC_POSITIONS angstrom
Re 0.000 0.000 0.000
Bi 1.963 1.963 2.801
As 0.000 0.000 2.801
O 0.000 1.963 0.000
O 1.963 0.000 0.000
```

=====

Entry from Alexandria: a geometry-optimized BiAs2RhO8 structure (PBE). Values from VASP.

Cell and atoms, written as Quantum ESPRESSO input:
```
&SYSTEM
  ibrav = 0, nat = 12, ntyp = 4
/
ATOMIC_SPECIES
Bi 208.98 Bi.upf
As 74.92 As.upf
Rh 102.91 Rh.upf
O 16.00 O.upf
CELL_PARAMETERS angstrom
5.453 0.000 0.000
-2.727 4.722 0.000
0.000 0.000 6.813
ATOMIC_POSITIONS angstrom
Bi 0.000 0.000 0.000
As 0.000 3.148 1.549
As 2.727 1.574 5.264
Rh 0.000 0.000 3.407
O 0.000 1.475 1.994
O -1.449 3.985 1.994
O 1.277 0.737 4.819
O 0.000 3.148 6.676
O 2.727 1.574 0.137
O 1.449 3.985 1.994
O 4.176 0.737 4.819
O 2.726 3.248 4.819
```

=====

Entry from Alexandria: a geometry-optimized BiAsSe2O structure (PBE). Values from VASP.

Cell and atoms, written as Quantum ESPRESSO input:
```
&SYSTEM
  ibrav = 0, nat = 5, ntyp = 4
/
ATOMIC_SPECIES
Bi 208.98 Bi.upf
As 74.92 As.upf
Se 78.96 Se.upf
O 16.00 O.upf
CELL_PARAMETERS angstrom
4.688 0.000 0.000
0.000 4.688 0.000
0.000 0.000 4.478
ATOMIC_POSITIONS angstrom
Bi 0.000 0.000 0.000
As 2.344 2.344 0.000
Se 0.000 2.344 2.239
Se 2.344 0.000 2.239
O 2.344 2.344 2.239
```

=====

Entry from Alexandria: a geometry-optimized BiAsSe2O structure (PBE). Values from VASP.

Cell and atoms, written as Quantum ESPRESSO input:
```
&SYSTEM
  ibrav = 0, nat = 5, ntyp = 4
/
ATOMIC_SPECIES
Bi 208.98 Bi.upf
As 74.92 As.upf
Se 78.96 Se.upf
O 16.00 O.upf
CELL_PARAMETERS angstrom
5.415 0.000 0.000
0.000 5.415 0.000
0.000 0.000 5.645
ATOMIC_POSITIONS angstrom
Bi 0.000 0.000 0.000
As 0.000 0.000 2.822
Se 0.000 2.707 0.000
Se 2.707 0.000 0.000
O 2.707 2.707 2.822
```

=====

Entry from Alexandria: a geometry-optimized SmBiAs2O8 structure (PBE). Values from VASP.

Cell and atoms, written as Quantum ESPRESSO input:
```
&SYSTEM
  ibrav = 0, nat = 12, ntyp = 4
/
ATOMIC_SPECIES
Sm 150.36 Sm.upf
Bi 208.98 Bi.upf
As 74.92 As.upf
O 16.00 O.upf
CELL_PARAMETERS angstrom
-2.571 2.571 5.848
2.571 -2.571 5.848
2.571 2.571 -5.848
ATOMIC_POSITIONS angstrom
Sm 0.000 0.000 0.000
Bi 0.000 2.571 2.924
As 2.571 0.000 2.924
As 0.000 0.000 5.848
O 3.848 -0.718 1.999
O 1.853 -1.277 3.849
O 1.822 1.294 -0.898
O 1.294 0.718 1.999
O 1.277 -0.749 6.746
O 3.289 1.277 3.849
O 0.749 1.277 4.951
O 1.294 3.320 0.898
```

=====

Entry from Alexandria: a geometry-optimized Sr6Bi2AsO structure (PBE). Values from VASP.

Cell and atoms, written as Quantum ESPRESSO input:
```
&SYSTEM
  ibrav = 0, nat = 10, ntyp = 4
/
ATOMIC_SPECIES
Sr 87.62 Sr.upf
Bi 208.98 Bi.upf
As 74.92 As.upf
O 16.00 O.upf
CELL_PARAMETERS angstrom
5.692 0.000 0.000
0.000 5.692 0.000
0.000 0.000 10.890
ATOMIC_POSITIONS angstrom
Sr 0.000 0.000 2.457
Sr 0.000 0.000 8.434
Sr 0.000 2.846 0.000
Sr 0.000 2.846 5.445
Sr 2.846 0.000 0.000
Sr 2.846 0.000 5.445
Bi 2.846 2.846 2.494
Bi 2.846 2.846 8.396
As 0.000 0.000 5.445
O 0.000 0.000 0.000
```

=====

Entry from Alexandria: a geometry-optimized Tl3BiAs2O8 structure (PBE). Values from VASP.

Cell and atoms, written as Quantum ESPRESSO input:
```
&SYSTEM
  ibrav = 0, nat = 14, ntyp = 4
/
ATOMIC_SPECIES
Tl 204.38 Tl.upf
Bi 208.98 Bi.upf
As 74.92 As.upf
O 16.00 O.upf
CELL_PARAMETERS angstrom
6.046 0.000 0.000
-3.023 5.236 0.000
0.000 0.000 8.163
ATOMIC_POSITIONS angstrom
Tl 0.000 0.000 0.000
Tl 0.000 3.491 6.028
Tl 3.023 1.745 2.135
Bi 0.000 0.000 4.082
As 0.000 3.491 2.055
As 3.023 1.745 6.108
O 0.000 1.847 2.628
O -1.424 4.313 2.628
O 0.000 3.491 0.362
O 1.599 0.923 5.535
O 1.424 4.313 2.628
O 3.023 1.745 7.801
O 4.447 0.923 5.535
O 3.023 3.389 5.535
```

=====

Entry from Alexandria: a geometry-optimized TlBiAs2O8 structure (PBE). Values from VASP.

Cell and atoms, written as Quantum ESPRESSO input:
```
&SYSTEM
  ibrav = 0, nat = 12, ntyp = 4
/
ATOMIC_SPECIES
Tl 204.38 Tl.upf
Bi 208.98 Bi.upf
As 74.92 As.upf
O 16.00 O.upf
CELL_PARAMETERS angstrom
-3.674 3.674 3.203
3.674 -3.674 3.203
3.674 3.674 -3.203
ATOMIC_POSITIONS angstrom
Tl 0.000 0.000 0.000
Bi 3.674 0.000 1.601
As 0.000 0.000 3.203
As 0.000 3.674 1.601
O 2.381 3.674 -1.152
O 1.293 0.000 2.051
O 0.000 2.362 0.474
O 3.674 2.381 1.152
O 0.000 4.986 0.474
O 0.000 1.293 4.354
O -1.312 3.674 2.729
O 1.312 3.674 2.729
```

=====

Entry from Alexandria: a geometry-optimized UBi4As2O16 structure (PBE). Values from VASP.

Cell and atoms, written as Quantum ESPRESSO input:
```
&SYSTEM
  ibrav = 0, nat = 23, ntyp = 4
/
ATOMIC_SPECIES
U 238.03 U.upf
Bi 208.98 Bi.upf
As 74.92 As.upf
O 16.00 O.upf
CELL_PARAMETERS angstrom
5.564 0.000 0.000
2.044 6.321 0.000
1.977 2.230 10.577
ATOMIC_POSITIONS angstrom
U 0.000 0.000 0.000
Bi 1.861 4.489 3.418
Bi 4.900 6.086 5.717
Bi 4.684 2.465 4.860
Bi 7.723 4.063 7.158
As 2.712 0.967 2.351
As 6.873 7.585 8.226
O 3.560 5.766 7.249
O 2.619 4.819 0.909
O 1.574 1.193 1.100
O 3.442 4.260 5.097
O 2.826 1.895 5.907
O 4.078 6.263 3.588
O 3.438 2.094 8.836
O 3.230 2.493 2.999
O 6.355 6.058 7.578
O 6.146 6.458 1.741
O 5.506 2.289 6.989
O 6.759 6.657 4.670
O 6.142 4.291 5.479
O 8.010 7.359 9.476
O 6.966 3.733 9.667
O 6.025 2.785 3.328
```

=====

| no. | calculated volume (Å³ per atom) | formation energy from raw total energies (eV/atom) |
| --- | --- | --- |
| 1 | 17.17 | -1.26 |
| 2 | 17.26 | -0.46 |
| 3 | 14.62 | -0.97 |
| 4 | 19.68 | 0.22 |
| 5 | 33.10 | 1.41 |
| 6 | 12.89 | -1.82 |
| 7 | 35.29 | -1.14 |
| 8 | 18.46 | -1.13 |
| 9 | 14.41 | -1.11 |
| 10 | 16.17 | -1.37 |